# 1
# SrCuN | the Open Quantum Materials Database | PBE-GGA | relaxed
data_SrCuN
_chemical_formula_sum 'Sr12 Cu12 N12'
_cell_length_a 9.024
_cell_length_b 13.215
_cell_length_c 5.387
_cell_angle_alpha 90.00
_cell_angle_beta 90.00
_cell_angle_gamma 90.00
_symmetry_space_group_name_H-M 'P 1'
_symmetry_Int_Tables_number 1
loop_
_symmetry_equiv_pos_as_xyz
'x,y,z'
loop_
_atom_site_label
_atom_site_fract_x
_atom_site_fract_y
_atom_site_fract_z
_atom_site_occupancy
Cu1 0.000 0.000 0.000 1
Cu2 0.000 0.500 0.000 1
Cu3 0.321 0.656 0.012 1
Cu4 0.321 0.844 0.012 1
Cu5 0.821 0.656 0.488 1
Cu6 0.821 0.844 0.488 1
Cu7 0.500 0.000 0.500 1
Cu8 0.500 0.500 0.500 1
Cu9 0.179 0.156 0.512 1
Cu10 0.179 0.344 0.512 1
Cu11 0.679 0.156 0.988 1
Cu12 0.679 0.344 0.988 1
N1 0.760 0.250 0.218 1
N2 0.913 0.581 0.241 1
N3 0.913 0.919 0.241 1
N4 0.413 0.581 0.259 1
N5 0.413 0.919 0.259 1
N6 0.260 0.250 0.282 1
N7 0.740 0.750 0.718 1
N8 0.587 0.081 0.741 1
N9 0.587 0.419 0.741 1
N10 0.087 0.081 0.759 1
N11 0.087 0.419 0.759 1
N12 0.240 0.750 0.782 1
Sr1 0.021 0.250 0.002 1
Sr2 0.340 0.086 0.015 1
Sr3 0.340 0.414 0.015 1
Sr4 0.840 0.086 0.485 1
Sr5 0.840 0.414 0.485 1
Sr6 0.521 0.250 0.498 1
Sr7 0.479 0.750 0.502 1
Sr8 0.160 0.586 0.515 1
Sr9 0.160 0.914 0.515 1
Sr10 0.660 0.586 0.985 1
Sr11 0.660 0.914 0.985 1
Sr12 0.979 0.750 0.998 1
# Final energy (eV for the cell shown): -180.32

# 2
# TbGdCl6 | the Open Quantum Materials Database | PBE-GGA | relaxed
data_TbGdCl6
_chemical_formula_sum 'Tb1 Gd1 Cl6'
_cell_length_a 6.925
_cell_length_b 6.925
_cell_length_c 6.462
_cell_angle_alpha 100.31
_cell_angle_beta 100.31
_cell_angle_gamma 120.16
_symmetry_space_group_name_H-M 'P 1'
_symmetry_Int_Tables_number 1
loop_
_symmetry_equiv_pos_as_xyz
'x,y,z'
loop_
_atom_site_label
_atom_site_fract_x
_atom_site_fract_y
_atom_site_fract_z
_atom_site_occupancy
Cl1 0.938 0.582 0.242 1
Cl2 0.579 0.937 0.242 1
Cl3 0.225 0.224 0.245 1
Cl4 0.776 0.775 0.755 1
Cl5 0.063 0.421 0.758 1
Cl6 0.418 0.062 0.758 1
Gd1 0.834 0.166 0.000 1
Tb1 0.166 0.834 0.000 1
# Final energy (eV for the cell shown): -38.55
# Total magnetic moment (μB per formula unit): 0.0

# 3
# HfTlTe2 | the Open Quantum Materials Database | PBE-GGA | relaxed
data_HfTlTe2
_chemical_formula_sum 'Hf1 Tl1 Te2'
_cell_length_a 3.974
_cell_length_b 3.974
_cell_length_c 8.949
_cell_angle_alpha 90.00
_cell_angle_beta 90.00
_cell_angle_gamma 120.00
_symmetry_space_group_name_H-M 'P 1'
_symmetry_Int_Tables_number 1
loop_
_symmetry_equiv_pos_as_xyz
'x,y,z'
loop_
_atom_site_label
_atom_site_fract_x
_atom_site_fract_y
_atom_site_fract_z
_atom_site_occupancy
Hf1 0.000 0.000 0.500 1
Te1 0.333 0.667 0.302 1
Te2 0.667 0.333 0.698 1
Tl1 0.000 0.000 0.000 1
# Final energy (eV for the cell shown): -21.10
# Total magnetic moment (μB per formula unit): 0.0

# 4
# Dy3SbN2 | the Open Quantum Materials Database | PBE-GGA | relaxed
data_Dy3SbN2
_chemical_formula_sum 'Dy3 Sb1 N2'
_cell_length_a 3.537
_cell_length_b 3.537
_cell_length_c 10.221
_cell_angle_alpha 90.00
_cell_angle_beta 90.00
_cell_angle_gamma 120.00
_symmetry_space_group_name_H-M 'P 1'
_symmetry_Int_Tables_number 1
loop_
_symmetry_equiv_pos_as_xyz
'x,y,z'
loop_
_atom_site_label
_atom_site_fract_x
_atom_site_fract_y
_atom_site_fract_z
_atom_site_occupancy
Dy1 0.000 0.000 0.000 1
Dy2 0.667 0.333 0.263 1
Dy3 0.333 0.667 0.737 1
N1 0.333 0.667 0.143 1
N2 0.667 0.333 0.857 1
Sb1 0.000 0.000 0.500 1
# Final energy (eV for the cell shown): -42.89
# Total magnetic moment (μB per formula unit): 0.0

# 5
# NdSmAuS3 | the Open Quantum Materials Database | PBE-GGA | relaxed
data_NdSmAuS3
_chemical_formula_sum 'Nd2 Sm2 Au2 S6'
_cell_length_a 6.945
_cell_length_b 6.945
_cell_length_c 10.470
_cell_angle_alpha 90.00
_cell_angle_beta 90.00
_cell_angle_gamma 147.54
_symmetry_space_group_name_H-M 'P 1'
_symmetry_Int_Tables_number 1
loop_
_symmetry_equiv_pos_as_xyz
'x,y,z'
loop_
_atom_site_label
_atom_site_fract_x
_atom_site_fract_y
_atom_site_fract_z
_atom_site_occupancy
Au1 0.479 0.521 0.250 1
Au2 0.521 0.479 0.750 1
Nd1 0.000 0.000 0.000 1
Nd2 0.000 0.000 0.500 1
S1 0.348 0.652 0.071 1
S2 0.110 0.890 0.250 1
S3 0.348 0.652 0.429 1
S4 0.652 0.348 0.571 1
S5 0.890 0.110 0.750 1
S6 0.652 0.348 0.929 1
Sm1 0.771 0.229 0.250 1
Sm2 0.229 0.771 0.750 1
# Final energy (eV for the cell shown): -67.37
# Total magnetic moment (μB per formula unit): 0.0

# 6
# NaOs3S5 | the Open Quantum Materials Database | PBE-GGA | relaxed
data_NaOs3S5
_chemical_formula_sum 'Na1 Os3 S5'
_cell_length_a 5.682
_cell_length_b 5.682
_cell_length_c 6.641
_cell_angle_alpha 90.00
_cell_angle_beta 90.00
_cell_angle_gamma 120.00
_symmetry_space_group_name_H-M 'P 1'
_symmetry_Int_Tables_number 1
loop_
_symmetry_equiv_pos_as_xyz
'x,y,z'
loop_
_atom_site_label
_atom_site_fract_x
_atom_site_fract_y
_atom_site_fract_z
_atom_site_occupancy
Na1 0.000 0.000 0.000 1
Os1 0.500 0.000 0.500 1
Os2 0.000 0.500 0.500 1
Os3 0.500 0.500 0.500 1
S1 0.667 0.333 0.249 1
S2 0.333 0.667 0.249 1
S3 0.000 0.000 0.500 1
S4 0.667 0.333 0.751 1
S5 0.333 0.667 0.751 1
# Final energy (eV for the cell shown): -55.71
# Total magnetic moment (μB per formula unit): 0.0

# 7
# LaTmB4 | the Open Quantum Materials Database | PBE-GGA | relaxed
data_LaTmB4
_chemical_formula_sum 'La1 Tm1 B4'
_cell_length_a 5.236
_cell_length_b 5.236
_cell_length_c 5.236
_cell_angle_alpha 143.37
_cell_angle_beta 113.77
_cell_angle_gamma 78.13
_symmetry_space_group_name_H-M 'P 1'
_symmetry_Int_Tables_number 1
loop_
_symmetry_equiv_pos_as_xyz
'x,y,z'
loop_
_atom_site_label
_atom_site_fract_x
_atom_site_fract_y
_atom_site_fract_z
_atom_site_occupancy
B1 0.587 0.253 0.334 1
B2 0.081 0.747 0.334 1
B3 0.919 0.253 0.666 1
B4 0.413 0.747 0.666 1
La1 0.500 0.500 0.000 1
Tm1 0.000 0.000 0.000 1
# Final energy (eV for the cell shown): -38.21
# Total magnetic moment (μB per formula unit): 0.0

# 8
# AcAsOs | the Open Quantum Materials Database | PBE-GGA | relaxed
data_AcAsOs
_chemical_formula_sum 'Ac1 As1 Os1'
_cell_length_a 4.734
_cell_length_b 4.734
_cell_length_c 4.734
_cell_angle_alpha 60.00
_cell_angle_beta 60.00
_cell_angle_gamma 60.00
_symmetry_space_group_name_H-M 'P 1'
_symmetry_Int_Tables_number 1
loop_
_symmetry_equiv_pos_as_xyz
'x,y,z'
loop_
_atom_site_label
_atom_site_fract_x
_atom_site_fract_y
_atom_site_fract_z
_atom_site_occupancy
Ac1 0.250 0.250 0.250 1
As1 0.750 0.750 0.750 1
Os1 0.000 0.000 0.000 1
# Final energy (eV for the cell shown): -19.67
# Total magnetic moment (μB per formula unit): 0.0